Below is a crystal of SrLa3Tl relaxed with PBEsol, with properties calculated at the SCAN level.

Cell and atoms, written as POSCAR:
```
SrLa3Tl
1.0
6.0813 0.0000 0.0000
0.0000 6.0813 0.0000
0.0000 0.0000 6.0813
Sr Tl La
1 1 3
Cartesian
3.0406 3.0406 3.0406
0.0000 0.0000 0.0000
0.0000 3.0406 0.0000
0.0000 0.0000 3.0406
3.0406 0.0000 0.0000
```

Results
Total magnetization, μB/cell: 0.00
DFT formation energy, eV per atom: 0.04
Space group: No. 221

---

Below is a crystal of B3Pb6O10F relaxed with PBEsol, with properties calculated at the SCAN level.

Cell and atoms, written as POSCAR:
```
B3Pb6O10F
1.0
-0.4607 4.5824 4.8975
-6.0782 -7.1419 6.1105
14.2954 -6.1180 7.0691
B Pb O F
12 24 40 4
Cartesian
8.7756 -5.3595 7.5911
-1.0191 -3.3180 10.4861
6.4145 -9.2206 10.9816
1.3420 0.5431 7.0956
6.6972 0.4844 7.3188
4.0445 -5.6543 7.7573
-6.3408 -3.5925 9.9069
11.1121 -8.5926 11.1714
1.0593 -9.1619 10.7584
3.7120 -3.0232 10.3199
14.0973 -5.0850 8.1703
-3.3556 -0.0849 6.9058
8.5561 -0.0335 9.7512
1.4809 -5.9644 6.0334
5.9187 -7.4319 16.4254
-0.4427 -3.9252 3.9444
-0.7996 -8.6440 8.3260
6.2756 -2.7131 12.0438
1.8378 -1.2456 1.6518
8.1992 -4.7524 14.1328
1.8854 -5.6192 10.6857
5.8711 -3.0583 7.3915
-1.3402 0.6328 4.5325
9.0967 -9.3104 13.5447
3.4635 -8.4290 8.9714
4.2930 -0.2485 9.1058
11.8257 -7.1362 8.5484
-4.0692 -1.5413 9.5288
3.7503 -8.2903 12.6929
2.0650 -2.6681 7.3358
11.1570 -3.4769 8.8860
-1.4593 -2.9197 7.2397
4.0062 -0.3872 5.3843
5.6915 -6.0094 10.7414
-3.4005 -5.2006 9.1912
9.2158 -5.7578 10.8375
3.6926 -7.0503 10.8107
4.0639 -1.6272 7.2665
11.2863 -5.4286 10.0077
-3.5298 -3.2490 8.0695
7.7571 -5.3473 6.5921
-0.0006 -3.3302 11.4851
7.5220 -10.1183 11.0340
0.2345 1.4408 7.0432
2.2401 -9.6432 11.3217
2.5601 -2.5080 9.7276
12.9164 -4.6019 7.6091
-2.2036 -0.6020 7.4961
5.5164 0.9657 6.7555
5.1964 -6.1695 8.3496
-5.1598 -4.0757 10.4681
9.9601 -8.0755 10.5811
6.5863 -0.3113 8.4569
2.8638 -6.3761 7.9176
8.0251 -8.5136 16.2667
-1.9623 -2.1540 3.5132
1.1702 -8.3662 9.6203
4.8927 -2.3014 10.1596
-0.2686 -0.1640 1.8105
9.7188 -6.5235 14.5640
1.8496 -6.3670 12.8919
4.0596 -4.4811 7.0425
12.8403 -3.2379 10.9981
-3.2365 -3.2690 5.2220
5.9069 -2.3105 5.1853
3.6969 -4.1964 11.0347
-5.0838 -5.4396 7.0791
10.9930 -5.4085 12.8552
5.2682 -9.6546 11.5894
1.1512 -0.5940 7.8321
9.8910 -4.6181 7.3118
-0.7974 -2.4883 9.4211
2.4883 0.9771 6.4878
6.6053 -8.0835 10.2451
-2.1345 -4.0594 10.7654
8.5539 -6.1892 8.6561
5.5694 -6.7650 13.0110
2.1871 -1.9125 5.0662
9.1808 -3.4390 10.2387
-1.4242 -5.2385 7.8385
```

Results
Total magnetization, μB/cell: 0.00
Space group: No. 57
Uncorrected formation energy, eV/atom: -1.84

---

Below is a crystal of LaRu2W relaxed with PBEsol, with properties calculated at the SCAN level.

Cell and atoms, written as POSCAR:
```
LaRu2W
1.0
-0.8283 3.6526 -2.6208
-3.6811 0.9787 2.5274
4.0770 -0.5020 1.9985
La Ru W
1 2 1
Cartesian
-0.9294 1.3962 2.2396
0.0000 0.0000 0.0000
0.4970 2.7331 -0.3345
-2.2547 2.3157 -0.0467
```

Results
Total magnetization, μB/cell: 1.73
DFT formation energy, eV per atom: 0.62
Space group: No. 119

---

Below is a crystal of AsAuBr2 relaxed with PBEsol, with properties calculated at the SCAN level.

Cell and atoms, written as POSCAR:
```
AsAuBr2
1.0
3.4500 0.0000 0.0000
0.0000 3.4500 0.0000
0.0000 0.0000 6.9644
As Au Br
1 1 2
Cartesian
1.7250 1.7250 0.0000
1.7250 1.7250 3.4822
0.0000 0.0000 5.2675
0.0000 0.0000 1.6970
```

Results
Total magnetization, μB/cell: 0.00
ΔE to the lowest computed polymorph, meV per atom: 927
Space group: No. 123
Uncorrected formation energy, eV/atom: 0.65

---

Below is a crystal of LaMg2Ni relaxed with PBEsol, with properties calculated at the SCAN level.

Cell and atoms, written as POSCAR:
```
LaMg2Ni
1.0
4.7163 0.0000 0.0000
-2.3581 4.4231 0.1526
0.0000 2.3739 4.0753
La Mg Ni
1 2 1
Cartesian
0.0000 0.0000 0.0000
0.0000 2.8050 1.0951
2.3581 3.9920 3.1327
2.3581 1.1870 2.0376
```

Results
Total magnetization, μB/cell: 0.00
DFT formation energy, eV per atom: 0.13
Space group: No. 139

---

Below is a crystal of KScC2 relaxed with PBEsol, with properties calculated at the SCAN level.

Cell and atoms, written as POSCAR:
```
KScC2
1.0
-3.9353 -0.5324 1.6112
-2.9813 -2.0800 -2.2696
-1.3024 -3.8925 1.2321
Sc K C
1 1 2
Cartesian
-4.1095 -3.2525 0.2869
0.0000 0.0000 0.0000
-2.0548 -1.6262 0.1434
-6.1643 -4.8787 0.4303
```

Results
Total magnetization, μB/cell: 0.00
DFT formation energy, eV per atom: 1.68
Space group: No. 225

---

Below is a crystal of Ba2SnTe5 relaxed with PBEsol, with properties calculated at the SCAN level.

Cell and atoms, written as POSCAR:
```
Ba2SnTe5
1.0
-5.5724 -1.2983 -3.6587
-3.6538 -0.5207 5.7498
-4.9088 23.7879 -0.9651
Ba Sn Te
8 4 20
Cartesian
-4.4936 21.3593 -0.8310
-3.0351 14.2912 -0.5442
-11.0999 7.6776 1.6702
-9.0255 20.4614 0.0867
-7.5670 13.3933 0.3735
-6.5680 8.5755 0.7525
-5.1095 1.5074 1.0393
-9.6413 0.6095 1.9570
-3.9157 5.5129 2.7334
-6.2029 17.2804 -1.7139
-7.9320 4.6884 2.8398
-10.2193 16.4560 -1.6074
-8.1654 16.9576 0.3105
-4.9242 5.4123 5.3841
-6.1542 20.0927 2.1053
-11.6201 22.4343 1.5754
-9.5977 14.1305 3.1624
-8.0788 23.1911 2.2167
-9.0271 6.9464 -1.1850
-9.2108 16.5565 -4.2581
-10.6440 19.2008 2.9567
-2.5149 -0.4655 -0.4495
-8.4822 10.5343 -1.5677
-3.4910 2.7681 -1.8307
-4.9410 11.2911 -0.9264
-7.9808 1.8761 -0.9793
-9.1940 10.6778 2.0524
-5.9696 5.0112 0.8154
-4.5373 7.8383 -2.0365
-5.6528 11.4345 2.6936
-5.1079 15.0225 2.3110
-6.0562 -1.2222 -1.0907
```

Results
Total magnetization, μB/cell: 0.00
Space group: No. 62
Uncorrected formation energy, eV/atom: -1.08

---

Below is a crystal of SrMgTl2 relaxed with PBEsol, with properties calculated at the SCAN level.

Cell and atoms, written as POSCAR:
```
SrMgTl2
1.0
-4.2711 2.9444 -1.4172
-4.4910 -2.4188 -1.6938
-4.3954 0.0239 3.0932
Sr Tl Mg
1 2 1
Cartesian
-4.4432 -1.1974 0.6997
-7.7321 -1.0595 0.6950
-5.4255 1.6090 -0.7127
-2.1356 1.4722 -0.7086
```

Results
Total magnetization, μB/cell: 0.00
DFT formation energy, eV per atom: -0.42
ΔE to the lowest computed polymorph, meV per atom: 0
Space group: No. 225

---

Below is a crystal of LiY2ScTe relaxed with PBEsol, with properties calculated at the SCAN level.

Cell and atoms, written as POSCAR:
```
LiY2ScTe
1.0
5.3663 0.0000 0.0000
0.0000 5.4650 0.0000
0.0000 0.0000 5.4650
Y Sc Te Li
2 1 1 1
Cartesian
0.0000 0.0000 2.7325
0.0000 2.7325 0.0000
0.0000 0.0000 0.0000
2.6832 0.0000 0.0000
2.6832 2.7325 2.7325
```

Results
Total magnetization, μB/cell: 0.54
Space group: No. 123
Uncorrected formation energy, eV/atom: 0.33

---

Below is a crystal of NaBSbN2 relaxed with PBEsol, with properties calculated at the SCAN level.

Cell and atoms, written as POSCAR:
```
NaBSbN2
1.0
-0.1254 1.2253 3.3781
-2.3170 -2.6113 0.8611
3.5401 -2.7669 1.1351
Sb B N Na
1 1 2 1
Cartesian
0.5488 -2.0764 2.6872
0.0000 0.0000 0.0000
-1.1585 -1.3056 0.4306
-0.0627 0.6127 1.6891
1.7701 -1.3835 0.5675
```

Results
Total magnetization, μB/cell: 0.00
Space group: No. 123
Uncorrected formation energy, eV/atom: 1.72

---

Below is a crystal of Ti2SbN relaxed with PBEsol, with properties calculated at the SCAN level.

Cell and atoms, written as POSCAR:
```
Ti2SbN
1.0
5.5042 0.0134 0.0224
-1.9577 5.1443 -0.0224
-1.9577 -2.4520 4.5224
Sb N Ti
2 2 4
Cartesian
0.0000 0.0000 0.0000
0.7944 3.2519 1.1250
-1.9577 1.3462 2.2500
0.7944 -0.5462 3.3974
3.6122 2.3059 0.5737
-1.0446 -0.2732 2.8237
1.7075 0.7250 2.2417
-1.0977 2.6538 3.4057
```

Results
Total magnetization, μB/cell: 0.00
Space group: No. 122
Uncorrected formation energy, eV/atom: -0.92

---

Below is a crystal of CaTlInSe2 relaxed with PBEsol, with properties calculated at the SCAN level.

Cell and atoms, written as POSCAR:
```
CaTlInSe2
1.0
5.3902 0.0000 0.0000
0.0000 5.3902 0.0000
0.0000 0.0000 5.7104
Tl Ca Se In
1 1 2 1
Cartesian
0.0000 0.0000 2.8552
0.0000 0.0000 0.0000
0.0000 2.6951 0.0000
2.6951 0.0000 0.0000
2.6951 2.6951 2.8552
```

Results
Total magnetization, μB/cell: 0.00
Space group: No. 123
Uncorrected formation energy, eV/atom: -0.27